Below is a relaxed BeFe2Os crystal, with properties calculated at the PBE level.

CIF file:
```
data_BeFe2Os
_space_group_name_H-M_alt 'P 1'
_space_group_IT_number 1
_cell_length_a 4.473
_cell_length_b 4.473
_cell_length_c 2.564
_cell_angle_alpha 90.00
_cell_angle_beta 90.00
_cell_angle_gamma 114.06
loop_
_space_group_symop_operation_xyz
'x,y,z'
loop_
_atom_site_label
_atom_site_type_symbol
_atom_site_fract_x
_atom_site_fract_y
_atom_site_fract_z
_atom_site_occupancy
Be1 Be 0.000 0.500 0.500 1
Os1 Os 0.500 0.000 0.500 1
Fe1 Fe 0.000 0.000 0.000 1
Fe2 Fe 0.500 0.500 0.000 1
```

Output
The calculated formation energy comes out at 0.255 eV per formula unit. For the final energy, the calculation gives -7.907 eV per atom. The calculated volume is 11.710 Å³ per atom. The calculation puts the total magnetic moment at 4.10 μB per formula unit.

---

Below is a relaxed LiNi2Ag2 crystal, with properties calculated at the PBE level.

CIF file:
```
data_LiNi2Ag2
_space_group_name_H-M_alt 'P 1'
_space_group_IT_number 1
_cell_length_a 3.968
_cell_length_b 3.968
_cell_length_c 6.175
_cell_angle_alpha 71.26
_cell_angle_beta 71.26
_cell_angle_gamma 90.00
loop_
_space_group_symop_operation_xyz
'x,y,z'
loop_
_atom_site_label
_atom_site_type_symbol
_atom_site_fract_x
_atom_site_fract_y
_atom_site_fract_z
_atom_site_occupancy
Ni1 Ni 0.401 0.401 0.198 1
Ni2 Ni 0.599 0.599 0.802 1
Ag1 Ag 0.750 0.250 0.500 1
Ag2 Ag 0.250 0.750 0.500 1
Li1 Li 0.000 0.000 0.000 1
```

Output
The energy above the most stable polymorph in this dataset is 230 meV/atom. The calculated formation energy comes out at 2.109 eV per formula unit. For the final energy, the calculation gives -3.414 eV per atom. The calculated volume is 17.321 Å³ per atom. The calculation puts the total magnetic moment at 0.89 μB per formula unit.

---

Below is a relaxed Mg2GaW3S8 crystal, with properties calculated at the PBE level.

CIF file:
```
data_Mg2GaW3S8
_space_group_name_H-M_alt 'P 1'
_space_group_IT_number 1
_cell_length_a 7.532
_cell_length_b 7.532
_cell_length_c 7.532
_cell_angle_alpha 55.41
_cell_angle_beta 55.41
_cell_angle_gamma 55.41
loop_
_space_group_symop_operation_xyz
'x,y,z'
loop_
_atom_site_label
_atom_site_type_symbol
_atom_site_fract_x
_atom_site_fract_y
_atom_site_fract_z
_atom_site_occupancy
Mg1 Mg 0.884 0.884 0.884 1
Mg2 Mg 0.137 0.137 0.137 1
Ga1 Ga 0.481 0.481 0.481 1
W1 W 0.529 0.941 0.529 1
W2 W 0.941 0.529 0.529 1
W3 W 0.529 0.529 0.941 1
S1 S 0.755 0.755 0.755 1
S2 S 0.243 0.722 0.243 1
S3 S 0.243 0.243 0.722 1
S4 S 0.722 0.243 0.243 1
S5 S 0.727 0.727 0.289 1
S6 S 0.289 0.727 0.727 1
S7 S 0.270 0.270 0.270 1
S8 S 0.727 0.289 0.727 1
```

Output
For the final energy, the calculation gives -6.312 eV per atom. Its uncorrected formation energy is -10.3 eV/f.u. The calculated volume is 19.278 Å³ per atom. The calculation puts the total magnetic moment at 1.03 μB per formula unit.

---

Below is a relaxed Zn5Re crystal, with properties calculated at the PBE level.

CIF file:
```
data_Zn5Re
_space_group_name_H-M_alt 'P 1'
_space_group_IT_number 1
_cell_length_a 2.807
_cell_length_b 4.588
_cell_length_c 7.144
_cell_angle_alpha 108.73
_cell_angle_beta 90.00
_cell_angle_gamma 90.00
loop_
_space_group_symop_operation_xyz
'x,y,z'
loop_
_atom_site_label
_atom_site_type_symbol
_atom_site_fract_x
_atom_site_fract_y
_atom_site_fract_z
_atom_site_occupancy
Re1 Re 0.000 0.000 0.000 1
Zn1 Zn 0.000 0.663 0.325 1
Zn2 Zn 0.000 0.337 0.675 1
Zn3 Zn 0.500 0.500 0.000 1
Zn4 Zn 0.500 0.170 0.341 1
Zn5 Zn 0.500 0.830 0.659 1
```

Output
The energy above the most stable polymorph in this dataset is 57 meV/atom. The calculated formation energy comes out at 0.881 eV per formula unit. For the final energy, the calculation gives -2.989 eV per atom. The calculated volume is 14.522 Å³ per atom. The calculation puts the total magnetic moment at 0.00 μB per formula unit.